Below is a relaxed NaLiCrF6 crystal, with properties calculated at the PBE+U level.

The structure belongs to space group P-31c (No. 163); the cell edges are 5.1731, 5.1731 and 9.8581 Å and the angles 90.00°, 90.00° and 120.00°. The asymmetric unit holds Na at (0.0000, 0.0000, 0.0000), Li at (0.3333, 0.6667, 0.2500), Cr at (0.3333, 0.6667, 0.7500) and F at (0.0291, 0.3765, 0.6435).

Its electronic total energy is -5.09 eV/atom.